# AgMo3

An optimized crystal structure of AgMo3 (PBE-GGA, Alexandria via LeMat-Bulk).

As for the relative energy among the computed polymorphs: 0.88 eV per formula unit. The calculation puts the energy of formation at 1.84 eV/f.u. The value obtained for the magnetization is 0.0 μB/f.u.

Cell lengths 4.9218, 4.9218, 11.2610 Å; angles 148.70, 148.70, 31.07 degrees
With the nearest neighbours (Å) after each atom.
Fractional positions:
Ag (0.0000, 0.0000, 0.0000)  2 Ag 2.64, 10 Mo 2.83-2.93
Mo (0.9966, 0.9966, 0.2490)  9 Mo 2.64-2.93, 3 Ag 2.83-2.89
Mo (0.0000, 0.0000, 0.5000)  8 Mo 2.64-2.93, 4 Ag 2.93
Mo (0.0034, 0.0034, 0.7510)  9 Mo 2.64-2.93, 3 Ag 2.83-2.89



# AgMo

An optimized crystal structure of AgMo (PBE-GGA, Alexandria via LeMat-Bulk).

As for the relative energy among the computed polymorphs: 1.15 eV per formula unit. The calculation puts the energy of formation at 1.68 eV/f.u. The value obtained for the magnetization is 0.0 μB/f.u.

Cell lengths 4.6132, 15.2758, 8.1289 Å; angles 90.00, 90.00, 90.00 degrees
With the nearest neighbours (Å) after each atom.
Fractional positions:
Ag (0.0000, 0.0000, 0.1638)  3 Ag 2.66-2.70, 6 Mo 2.89-2.95
Ag (0.0000, 0.0000, 0.8362)  3 Ag 2.66-2.70, 6 Mo 2.89-2.95
Ag (0.2500, 0.7500, 0.0862)  3 Ag 2.66-2.70, 6 Mo 2.89-2.95
Ag (0.2500, 0.7500, 0.4138)  3 Ag 2.66-2.70, 6 Mo 2.89-2.95
Ag (0.0000, 0.5000, 0.6638)  3 Ag 2.66-2.70, 6 Mo 2.89-2.95
Ag (0.0000, 0.5000, 0.3362)  3 Ag 2.66-2.70, 6 Mo 2.89-2.95
Ag (0.2500, 0.2500, 0.5862)  3 Ag 2.66-2.70, 6 Mo 2.89-2.95
Ag (0.2500, 0.2500, 0.9138)  3 Ag 2.66-2.70, 6 Mo 2.89-2.95
Ag (0.5000, 0.0000, 0.6638)  3 Ag 2.66-2.70, 6 Mo 2.89-2.95
Ag (0.5000, 0.0000, 0.3362)  3 Ag 2.66-2.70, 6 Mo 2.89-2.95
Ag (0.7500, 0.7500, 0.5862)  3 Ag 2.66-2.70, 6 Mo 2.89-2.95
Ag (0.7500, 0.7500, 0.9138)  3 Ag 2.66-2.70, 6 Mo 2.89-2.95
Ag (0.5000, 0.5000, 0.1638)  3 Ag 2.66-2.70, 6 Mo 2.89-2.95
Ag (0.5000, 0.5000, 0.8362)  3 Ag 2.66-2.70, 6 Mo 2.89-2.95
Ag (0.7500, 0.2500, 0.0862)  3 Ag 2.66-2.70, 6 Mo 2.89-2.95
Ag (0.7500, 0.2500, 0.4138)  3 Ag 2.66-2.70, 6 Mo 2.89-2.95
Mo (0.0000, 0.4174, 0.0000)  3 Mo 2.52-2.67
Mo (0.0000, 0.5826, 0.0000)  3 Mo 2.52-2.67
Mo (0.2500, 0.3326, 0.2500)  3 Mo 2.52-2.67
Mo (0.2500, 0.1674, 0.2500)  3 Mo 2.52-2.67
Mo (0.0000, 0.9174, 0.5000)  3 Mo 2.52-2.67
Mo (0.0000, 0.0826, 0.5000)  3 Mo 2.52-2.67
Mo (0.2500, 0.8326, 0.7500)  3 Mo 2.52-2.67
Mo (0.2500, 0.6674, 0.7500)  3 Mo 2.52-2.67
Mo (0.5000, 0.4174, 0.5000)  3 Mo 2.52-2.67
Mo (0.5000, 0.5826, 0.5000)  3 Mo 2.52-2.67
Mo (0.7500, 0.3326, 0.7500)  3 Mo 2.52-2.67
Mo (0.7500, 0.1674, 0.7500)  3 Mo 2.52-2.67
Mo (0.5000, 0.9174, 0.0000)  3 Mo 2.52-2.67
Mo (0.5000, 0.0826, 0.0000)  3 Mo 2.52-2.67
Mo (0.7500, 0.8326, 0.2500)  3 Mo 2.52-2.67
Mo (0.7500, 0.6674, 0.2500)  3 Mo 2.52-2.67



# AgMo

An optimized crystal structure of AgMo (PBE-GGA, Alexandria via LeMat-Bulk).

As for the relative energy among the computed polymorphs: 0.32 eV per formula unit. The calculation puts the energy of formation at 0.85 eV/f.u. The value obtained for the magnetization is 0.0 μB/f.u.

Cell lengths 3.2768, 3.2768, 6.3885 Å; angles 90.00, 90.00, 90.00 degrees
With the nearest neighbours (Å) after each atom.
Fractional positions:
Ag (0.0000, 0.0000, 0.0009)  4 Ag 2.81, 5 Mo 2.93-3.01
Ag (0.5000, 0.5000, 0.2491)  4 Ag 2.81, 5 Mo 2.93-3.01
Mo (0.0000, 0.0000, 0.5298)  4 Mo 2.62, 4 Ag 2.93
Mo (0.5000, 0.5000, 0.7202)  4 Mo 2.62, 4 Ag 2.93



# AgMo

An optimized crystal structure of AgMo (PBE-GGA, Alexandria via LeMat-Bulk).

As for the relative energy among the computed polymorphs: 1.43 eV per formula unit. The calculation puts the energy of formation at 1.96 eV/f.u. The value obtained for the magnetization is 0.0 μB/f.u.

Cell lengths 11.1509, 11.1509, 2.9515 Å; angles 90.00, 90.00, 90.00 degrees
With the nearest neighbours (Å) after each atom.
Fractional positions:
Ag (0.5321, 0.3235, 0.0000)  5 Mo 2.75-3.07, 4 Ag 2.83-2.95
Ag (0.4679, 0.6765, 0.0000)  5 Mo 2.75-3.07, 4 Ag 2.83-2.95
Ag (0.6765, 0.5321, 0.0000)  5 Mo 2.75-3.07, 4 Ag 2.83-2.95
Ag (0.3235, 0.4679, 0.0000)  5 Mo 2.75-3.07, 4 Ag 2.83-2.95
Ag (0.0321, 0.8235, 0.5000)  5 Mo 2.75-3.07, 4 Ag 2.83-2.95
Ag (0.9679, 0.1765, 0.5000)  5 Mo 2.75-3.07, 4 Ag 2.83-2.95
Ag (0.1765, 0.0321, 0.5000)  5 Mo 2.75-3.07, 4 Ag 2.83-2.95
Ag (0.8235, 0.9679, 0.5000)  5 Mo 2.75-3.07, 4 Ag 2.83-2.95
Mo (0.2735, 0.8290, 0.0000)  2 Mo 2.36
Mo (0.7265, 0.1710, 0.0000)  2 Mo 2.36
Mo (0.1710, 0.2735, 0.0000)  2 Mo 2.36
Mo (0.8290, 0.7265, 0.0000)  2 Mo 2.36
Mo (0.7735, 0.3290, 0.5000)  2 Mo 2.36
Mo (0.2265, 0.6710, 0.5000)  2 Mo 2.36
Mo (0.6710, 0.7735, 0.5000)  2 Mo 2.36
Mo (0.3290, 0.2265, 0.5000)  2 Mo 2.36



Question: Which value of magnetization does entry 1 give?
Answer: 0.0 μB/f.u.



Question: Among the records above, which one has the lowest energy of formation?
Answer: number 3



Question: Which value of energy of formation does entry 1 give?
Answer: 1.84 eV/f.u.